No. 1
VASP calculation (PBE-GGA) on a relaxed CeSc3N crystal.

abc: 4.621 4.621 4.621
angles: 90.00 90.00 90.00
Fractional positions:
Ce (0.000, 0.000, 0.000)
Sc (0.000, 0.500, 0.500)
Sc (0.500, 0.000, 0.500)
Sc (0.500, 0.500, 0.000)
N (0.500, 0.500, 0.500)

Computed properties:
* calculated total energy: -35.469 eV per formula unit
* formation energy (no corrections): -0.443 eV/atom

***

No. 2
VASP calculation (PBE-GGA) on a relaxed CeSc2SiN4 crystal.

abc: 5.778 5.778 10.960
angles: 90.00 90.00 147.66
Fractional positions:
Ce (0.090, 0.910, 0.750)
Ce (0.910, 0.090, 0.250)
Sc (0.370, 0.630, 0.539)
Sc (0.370, 0.630, 0.961)
Sc (0.630, 0.370, 0.039)
Sc (0.630, 0.370, 0.461)
Si (0.173, 0.827, 0.250)
Si (0.827, 0.173, 0.750)
N (0.000, 0.000, 0.000)
N (0.000, 0.000, 0.500)
N (0.264, 0.736, 0.123)
N (0.264, 0.736, 0.377)
N (0.409, 0.591, 0.750)
N (0.591, 0.409, 0.250)
N (0.736, 0.264, 0.623)
N (0.736, 0.264, 0.877)

Computed properties:
* calculated total energy: -69.037 eV per formula unit
* formation energy (no corrections): -1.464 eV/atom